[1]
Compound: NaLiMgAu
Source: the Alexandria database
Functional: PBE-GGA
Structure: optimized geometry

## Properties
DOS at the Fermi energy = 1.0 states/eV/f.u.
Total energy = -9.291 eV for the cell shown

```
NaLiMgAu
1.0
0.0000 3.3791 3.3791
3.3791 0.0000 3.3791
3.3791 3.3791 0.0000
Na Li Mg Au
1 1 1 1
direct
0.0000 0.0000 0.0000 Na
0.7500 0.7500 0.7500 Li
0.2500 0.2500 0.2500 Mg
0.5000 0.5000 0.5000 Au
```

[2]
Compound: Li2NdMgAu5
Source: the Alexandria database
Functional: PBE-GGA
Structure: optimized geometry

## Properties
DOS at the Fermi energy = 4.7 states/eV/f.u.
Total energy = -30.909 eV for the cell shown

```
Li2NdMgAu5
1.0
4.7821 0.0000 0.0000
0.0000 4.7821 0.0000
0.0000 0.0000 7.5019
Li Nd Mg Au
2 1 1 5
direct
0.0000 0.0000 0.1534 Li
0.0000 0.0000 0.8466 Li
0.5000 0.5000 0.5000 Nd
0.5000 0.5000 0.0000 Mg
0.0000 0.0000 0.5000 Au
0.0000 0.5000 0.2232 Au
0.0000 0.5000 0.7768 Au
0.5000 0.0000 0.2232 Au
0.5000 0.0000 0.7768 Au
```